# HfMnCu2S4 | Alexandria | PBE | optimized geometry
# Energy relative to the elements, uncorrected, kJ/mol of formula units: -581
# Electronic total energy, eV per atom: -6.230
# Spin magnetization, μB/f.u.: 4.99
data_HfMnCu2S4
_space_group_name_H-M_alt 'I -4 2 m'
_space_group_IT_number 121
_space_group_name_Hall 'I -4 2'
_cell_length_a 5.501
_cell_length_b 5.501
_cell_length_c 10.764
_cell_angle_alpha 90.00
_cell_angle_beta 90.00
_cell_angle_gamma 90.00
loop_
_atom_site_label
_atom_site_fract_x
_atom_site_fract_y
_atom_site_fract_z
Hf1 0.000 0.000 0.000
Mn1 0.000 0.000 0.500
Cu1 0.000 0.500 0.250
S1 0.248 0.248 0.368